Material: Pa2Co2Ni3
Method: DFT, PBE
State: optimized geometry

a b c (Å): 4.015 3.580 8.183
angles (deg): 90.00 87.33 90.00
Fractional positions:
Pa 0.325 0.500 0.792
Pa 0.675 0.500 0.208
Co 0.256 0.000 0.257
Co 0.744 0.000 0.743
Ni 0.242 0.000 0.564
Ni 0.000 0.000 0.000
Ni 0.758 0.000 0.436

raw total energy: -7.31 eV/atom
theoretical density: 10685 kg/m³
DFT formation energy: -0.091 eV/atom